Here is a geometry-optimized NaCrP2 structure from the Alexandria database. Energies are from GGA-PBE.

```
NaCrP2
1.0
1.534 0.886 7.764
-1.534 0.886 7.764
0.000 -1.772 7.764
Na Cr P
1 1 2
Direct
0.000 0.000 0.000 Na
0.500 0.500 0.500 Cr
0.232 0.232 0.232 P
0.768 0.768 0.768 P
```

Excess energy over the best structure of this formula in the dataset   0.000 kcal/mol of atoms
Calculated formation energy   -0.265 eV/atom
Space group   R-3m, No. 166

Here is a geometry-optimized Sr2CuAu2 structure from the Alexandria database. Energies are from GGA-PBE.

```
Sr2CuAu2
1.0
-3.040 3.040 3.936
3.040 -3.040 3.936
3.040 3.040 -3.936
Sr Cu Au
2 1 2
Direct
0.250 0.750 0.500 Sr
0.750 0.250 0.500 Sr
0.000 0.000 0.000 Cu
0.328 0.328 0.000 Au
0.672 0.672 0.000 Au
```

Excess energy over the best structure of this formula in the dataset   4.471 kcal/mol of atoms
Calculated formation energy   -0.389 eV/atom
Space group   I4/mmm, No. 139

Here is a geometry-optimized RbTa2Mo structure from the Alexandria database. Energies are from GGA-PBE.

```
RbTa2Mo
1.0
-2.791 2.791 8.422
2.791 -2.791 8.422
2.791 2.791 -8.422
Rb Ta Mo
2 4 2
Direct
0.000 0.000 0.000 Rb
0.750 0.250 0.500 Rb
0.372 0.125 0.747 Ta
0.375 0.628 0.753 Ta
0.378 0.625 0.253 Ta
0.875 0.622 0.247 Ta
0.250 0.750 0.500 Mo
0.500 0.500 0.000 Mo
```

Excess energy over the best structure of this formula in the dataset   6.653 kcal/mol of atoms
Calculated formation energy   1.962 eV/atom
Space group   I-42d, No. 122

Here is a geometry-optimized LaRu2 structure from the Alexandria database. Energies are from GGA-PBE.

```
LaRu2
1.0
-1.486 1.934 5.196
1.486 -1.934 5.196
1.486 1.934 -5.196
La Ru
1 2
Direct
0.000 0.000 0.000 La
0.291 0.291 0.000 Ru
0.709 0.709 0.000 Ru
```

Calculated formation energy   0.137 eV/atom
Space group   Immm, No. 71

Here is a geometry-optimized Tm2PuMg6 structure from the Alexandria database. Energies are from GGA-PBE.

```
Tm2PuMg6
1.0
9.082 0.000 0.000
-4.541 7.865 0.000
0.000 0.000 3.167
Tm Pu Mg
2 1 6
Direct
0.333 0.667 0.000 Tm
0.667 0.333 0.000 Tm
0.000 0.000 0.000 Pu
0.000 0.335 0.500 Mg
0.000 0.665 0.500 Mg
0.335 0.000 0.500 Mg
0.335 0.335 0.500 Mg
0.665 0.000 0.500 Mg
0.665 0.665 0.500 Mg
```

Calculated formation energy   -0.003 eV/atom
Space group   P6/mmm, No. 191

Here is a geometry-optimized CaCoSe structure from the Alexandria database. Energies are from GGA-PBE.

```
CaCoSe
1.0
4.008 0.000 0.000
-2.004 3.471 0.000
0.000 0.000 4.168
Ca Co Se
1 1 1
Direct
0.000 0.000 0.000 Ca
0.333 0.667 0.500 Co
0.667 0.333 0.500 Se
```

Excess energy over the best structure of this formula in the dataset   0.000 kcal/mol of atoms
Space group   P-6m2, No. 187

Here is a geometry-optimized GeCI2 structure from the Alexandria database. Energies are from GGA-PBE.

```
GeCI2
1.0
-3.222 3.222 6.041
3.222 -3.222 6.041
3.222 3.222 -6.041
Ge C I
2 2 4
Direct
0.000 0.000 0.000 Ge
0.750 0.250 0.500 Ge
0.250 0.750 0.500 C
0.500 0.500 0.000 C
0.218 0.625 0.093 I
0.375 0.468 0.593 I
0.532 0.125 0.907 I
0.875 0.782 0.407 I
```

Excess energy over the best structure of this formula in the dataset   0.000 kcal/mol of atoms
Space group   I-42d, No. 122

Here is a geometry-optimized Tm4Se5O structure from the Alexandria database. Energies are from GGA-PBE.

```
Tm4Se5O
1.0
-1.867 3.671 8.826
1.867 -3.671 8.826
1.867 3.671 -8.826
Tm Se O
4 5 1
Direct
0.218 0.500 0.718 Tm
0.219 0.219 0.000 Tm
0.781 0.781 0.000 Tm
0.782 0.500 0.282 Tm
0.087 0.341 0.746 Se
0.405 0.659 0.746 Se
0.500 0.000 0.500 Se
0.595 0.341 0.254 Se
0.913 0.659 0.254 Se
0.000 0.000 0.000 O
```

Calculated total energy   -5.9715 eV/atom
Space group   Immm, No. 71

Here is a geometry-optimized IrOs3W structure from the Alexandria database. Energies are from GGA-PBE.

```
IrOs3W
1.0
4.632 0.000 0.000
0.000 4.632 0.000
0.000 0.000 4.632
Ir Os W
1 3 1
Direct
0.000 0.000 0.000 Ir
0.000 0.000 0.500 Os
0.000 0.500 0.000 Os
0.500 0.000 0.000 Os
0.500 0.500 0.500 W
```

Excess energy over the best structure of this formula in the dataset   27.917 kcal/mol of atoms
Calculated formation energy   2.720 eV/atom
Space group   Pm-3m, No. 221

Here is a geometry-optimized Sm2Dy7Er4 structure from the Alexandria database. Energies are from GGA-PBE.

```
Sm2Dy7Er4
1.0
6.050 0.000 0.000
-3.025 5.239 0.000
0.000 0.000 13.244
Sm Dy Er
2 7 4
Direct
0.333 0.667 0.000 Sm
0.667 0.333 0.000 Sm
0.000 0.000 0.000 Dy
0.000 0.355 0.218 Dy
0.000 0.645 0.782 Dy
0.355 0.000 0.218 Dy
0.355 0.355 0.782 Dy
0.645 0.000 0.782 Dy
0.645 0.645 0.218 Dy
0.000 0.000 0.395 Er
0.000 0.000 0.605 Er
0.333 0.667 0.500 Er
0.667 0.333 0.500 Er
```

Calculated formation energy   0.186 eV/atom
Space group   P-31m, No. 162

Here is a geometry-optimized InF structure from the Alexandria database. Energies are from GGA-PBE.

```
InF
1.0
-4.433 4.433 4.433
4.433 -4.433 4.433
4.433 4.433 -4.433
In F
4 4
Direct
0.000 0.000 0.299 In
0.000 0.299 0.000 In
0.299 0.000 0.000 In
0.701 0.701 0.701 In
0.000 0.000 0.768 F
0.000 0.768 0.000 F
0.232 0.232 0.232 F
0.768 0.000 0.000 F
```

Calculated total energy   -3.9271 eV/atom
Space group   I-43m, No. 217

Here is a geometry-optimized Cd2ClF2 structure from the Alexandria database. Energies are from GGA-PBE.

```
Cd2ClF2
1.0
6.149 -2.451 0.000
6.149 2.451 0.000
-2.256 0.000 6.598
Cd Cl F
4 2 4
Direct
0.012 0.012 0.302 Cd
0.335 0.335 0.395 Cd
0.665 0.665 0.605 Cd
0.988 0.988 0.698 Cd
0.150 0.150 0.081 Cl
0.850 0.850 0.919 Cl
0.213 0.213 0.574 F
0.497 0.497 0.299 F
0.503 0.503 0.701 F
0.787 0.787 0.426 F
```

Calculated total energy   -2.9871 eV/atom
Space group   C2/m, No. 12

Calculated values (Mg/m³) of theoretical density for the records, taken in order: 3.592, 7.222, 6.878, 9.478, 5.342, 5.098, 4.481, 7.456, 15.822, 8.335, 2.550, 4.981.